# ZnCoN2F | the Alexandria database | GGA+U | optimized geometry
data_ZnCoN2F
_chemical_formula_sum 'Zn1 Co1 N2 F1'
_cell_length_a 3.8355
_cell_length_b 3.8355
_cell_length_c 4.0826
_cell_angle_alpha 90.00
_cell_angle_beta 90.00
_cell_angle_gamma 90.00
_space_group_name_H-M_alt 'P 4/m m m'
_space_group_IT_number 123
_space_group_name_Hall '-P 4 2'
loop_
_atom_site_label
_atom_site_type_symbol
_atom_site_fract_x
_atom_site_fract_y
_atom_site_fract_z
_atom_site_occupancy
Zn1 Zn 0.0000 0.0000 0.0000 1
Co1 Co 0.5000 0.5000 0.5000 1
N1 N 0.0000 0.5000 0.0000 1
F1 F 0.0000 0.0000 0.5000 1
# Size of the total moment = 0.870 μB/atom
# Energy = -3.992 eV/atom
# Polymorph energy (0 for the lowest one) = 429 meV/atom
# DOS(E_F) = 0.50 states/eV per atom